Entry 1:
## Hf2Al2In (PBE-GGA)

Data for Hf2Al2In after structural relaxation.

Geometry as POSCAR:
```
Hf2Al2In
1.0
8.067 0.000 0.000
0.000 8.067 0.000
0.000 0.000 3.249
Hf Al In
4 4 2
direct
0.129 0.371 0.000
0.371 0.871 0.000
0.629 0.129 0.000
0.871 0.629 0.000
0.171 0.671 0.500
0.329 0.171 0.500
0.671 0.829 0.500
0.829 0.329 0.500
0.000 0.000 0.000
0.500 0.500 0.000
```

- ΔH_f (0 K): -0.006 eV/atom
- Relative energy among the computed polymorphs: 0.2163 eV/atom

=====

Entry 2:
## LiTiSbI2 (PBE-GGA)

Data for LiTiSbI2 after structural relaxation.

Geometry as POSCAR:
```
LiTiSbI2
1.0
6.154 0.000 0.000
0.000 6.154 0.000
0.000 0.000 5.096
Li Ti Sb I
1 1 1 2
direct
0.000 0.000 0.000
0.500 0.500 0.000
0.000 0.000 0.500
0.000 0.500 0.500
0.500 0.000 0.500
```

- Formation energy from raw total energies: 512 meV per atom
- Relative energy among the computed polymorphs: 0.7174 eV/atom

=====

Entry 3:
## La2TaRh (PBE-GGA)

Data for La2TaRh after structural relaxation.

Geometry as POSCAR:
```
La2TaRh
1.0
4.273 0.000 0.000
-2.136 3.700 0.000
0.000 0.000 23.134
La Ta Rh
6 3 3
direct
0.000 0.000 0.000
0.000 0.000 0.192
0.333 0.667 0.667
0.333 0.667 0.859
0.667 0.333 0.333
0.667 0.333 0.525
0.000 0.000 0.757
0.333 0.667 0.424
0.667 0.333 0.090
0.000 0.000 0.441
0.333 0.667 0.108
0.667 0.333 0.775
```

- ΔH_f (0 K): -0.067 eV/atom
- Relative energy among the computed polymorphs: 0.0614 eV/atom

=====

Entry 4:
## Rb2NaH6Pd (PBE-GGA)

Data for Rb2NaH6Pd after structural relaxation.

Geometry as POSCAR:
```
Rb2NaH6Pd
1.0
6.021 0.000 0.000
-3.010 5.214 0.000
0.000 0.000 5.648
Rb Na H Pd
2 1 6 1
direct
0.333 0.667 0.300
0.667 0.333 0.700
0.000 0.000 0.000
0.135 0.269 0.673
0.135 0.865 0.673
0.269 0.135 0.327
0.731 0.865 0.673
0.865 0.135 0.327
0.865 0.731 0.327
0.000 0.000 0.500
```

- Raw total energy: -30.26 eV for the cell shown

=====

Entry 5:
## TmVCuRu (PBE-GGA)

Data for TmVCuRu after structural relaxation.

Geometry as POSCAR:
```
TmVCuRu
1.0
6.400 0.000 0.000
0.000 6.400 0.000
0.000 0.000 6.400
Tm V Cu Ru
4 4 4 4
direct
0.000 0.000 0.000
0.000 0.500 0.500
0.500 0.000 0.500
0.500 0.500 0.000
0.000 0.000 0.500
0.000 0.500 0.000
0.500 0.000 0.000
0.500 0.500 0.500
0.250 0.250 0.750
0.250 0.750 0.250
0.750 0.250 0.250
0.750 0.750 0.750
0.250 0.250 0.250
0.250 0.750 0.750
0.750 0.250 0.750
0.750 0.750 0.250
```

- ΔH_f (0 K): -0.050 eV/atom

=====

Entry 6:
## Sm2CrB10 (PBE-GGA)

Data for Sm2CrB10 after structural relaxation.

Geometry as POSCAR:
```
Sm2CrB10
1.0
5.707 0.000 0.000
0.000 11.371 0.000
0.000 0.000 4.180
Sm Cr B
4 2 20
direct
0.201 0.137 0.000
0.299 0.637 0.000
0.701 0.363 0.000
0.799 0.863 0.000
0.000 0.500 0.500
0.500 0.000 0.500
0.049 0.310 0.500
0.123 0.958 0.500
0.142 0.802 0.500
0.216 0.383 0.200
0.216 0.383 0.800
0.284 0.883 0.200
0.284 0.883 0.800
0.358 0.302 0.500
0.377 0.458 0.500
0.451 0.810 0.500
0.549 0.190 0.500
0.623 0.542 0.500
0.642 0.698 0.500
0.716 0.117 0.200
0.716 0.117 0.800
0.784 0.617 0.200
0.784 0.617 0.800
0.858 0.198 0.500
0.877 0.042 0.500
0.951 0.690 0.500
```

- ΔH_f (0 K): -0.432 eV/atom

=====

Number 1: magnetization 0.0 μB per cell. Number 2: magnetization 3.2 μB per cell. Number 3: magnetization 3.3 μB per cell. Number 4: magnetization 0.0 μB per cell. Number 5: magnetization 5.7 μB per cell. Number 6: magnetization 5.1 μB per cell.